DFT (SCAN) results for K2FeSb at its PBEsol-relaxed geometry.

It has space group P4/mmm (No. 123), with a = 4.364 Å, b = 4.364 Å, c = 5.446 Å, α = 90.00°, β = 90.00° and γ = 90.00°. The inequivalent atoms are K at (0.000, 0.500, 0.000), Fe at (0.000, 0.000, 0.500) and Sb at (0.500, 0.500, 0.500).

Its density of states at the Fermi level is 1.524 states/eV/cell. The value obtained for the formation energy without anion corrections is 353 meV/atom. The calculated density comes out at 4.10 g cm⁻³.